No. 1
Compound: Be2PSe
Source: the Alexandria database
Functional: GGA-PBEsol
Structure: optimized geometry

Values from the calculation:
space-group type = C2/m, No. 12
magnetization = 0.00 μB per cell
formation energy from raw total energies = 0.25 eV/atom

Lattice parameters (Å, degrees): 3.607 4.207 4.207 101.91 107.17 107.17
Positions (direct):
P1 0.500 0.500 0.500
Se1 0.500 0.000 0.000
Be1 0.000 0.500 0.000
Be2 0.000 0.000 0.500

=====

No. 2
Compound: GaRu2O
Source: the Alexandria database
Functional: GGA-PBEsol
Structure: optimized geometry

Values from the calculation:
space-group type = Fm-3m, No. 225
magnetization = 0.00 μB per cell
formation energy from raw total energies = 0.43 eV/atom

Lattice parameters (Å, degrees): 4.089 4.089 4.089 60.00 60.00 60.00
Positions (direct):
Ru1 0.250 0.250 0.250
Ru2 0.750 0.750 0.750
O1 0.000 0.000 0.000
Ga1 0.500 0.500 0.500

=====

No. 3
Compound: YMnCo
Source: the Alexandria database
Functional: GGA-PBEsol
Structure: optimized geometry

Values from the calculation:
space-group type = Imma, No. 74
magnetization = 4.95 μB per cell
energy of formation = -0.042 eV/atom

Lattice parameters (Å, degrees): 5.008 5.008 5.008 87.06 60.80 117.44
Site moments in Bohr magnetons follow the coordinates.
Positions (direct):
Y1 0.750 0.122 0.128  -0.27
Y2 0.250 0.878 0.872  -0.27
Mn1 0.000 0.500 0.500  2.24
Mn2 0.500 0.500 0.000  2.24
Co1 0.000 0.000 0.500  0.50
Co2 0.500 0.500 0.500  0.50

=====

No. 4
Compound: Sb2TeAu
Source: the Alexandria database
Functional: GGA-PBEsol
Structure: optimized geometry

Values from the calculation:
space-group type = Cmm2, No. 35
magnetization = 0.00 μB per cell
formation energy from raw total energies = 0.18 eV/atom

Lattice parameters (Å, degrees): 3.264 3.264 9.734 90.00 90.00 109.78
Positions (direct):
Au1 0.500 0.500 0.244
Sb1 0.000 0.000 0.031
Sb2 0.500 0.500 0.760
Te1 0.000 0.000 0.465

=====

No. 5
Compound: BeAsSe2
Source: the Alexandria database
Functional: GGA-PBEsol
Structure: optimized geometry

Values from the calculation:
space-group type = P4mm, No. 99
magnetization = 0.00 μB per cell
formation energy from raw total energies = -0.02 eV/atom

Lattice parameters (Å, degrees): 3.737 3.737 5.297 90.00 90.00 90.00
Positions (direct):
Be1 0.500 0.500 0.830
As1 0.000 0.000 0.384
Se1 0.000 0.000 0.889
Se2 0.500 0.500 0.397

=====

No. 6
Compound: In2FeSiPb
Source: the Alexandria database
Functional: GGA-PBEsol
Structure: optimized geometry

Values from the calculation:
space-group type = P4/mmm, No. 123
magnetization = 3.15 μB per cell
formation energy from raw total energies = 1.07 eV/atom

Lattice parameters (Å, degrees): 5.048 5.048 5.339 90.00 90.00 90.00
Site moments in Bohr magnetons follow the coordinates.
Positions (direct):
Pb1 0.000 0.000 0.500  -0.04
Si1 0.000 0.000 0.000  -0.01
Fe1 0.500 0.500 0.500  3.21
In1 0.000 0.500 0.000  -0.02
In2 0.500 0.000 0.000  -0.02

=====

No. 7
Compound: La2MgBe
Source: the Alexandria database
Functional: GGA-PBEsol
Structure: optimized geometry

Values from the calculation:
space-group type = R-3m, No. 166
magnetization = 0.00 μB per cell
energy of formation = 0.276 eV/atom

Lattice parameters (Å, degrees): 3.474 3.474 10.494 80.47 80.47 60.00
Positions (direct):
Be1 0.000 0.000 0.000
Mg1 0.500 0.500 0.500
La1 0.266 0.266 0.203
La2 0.734 0.734 0.797

=====

No. 8
Compound: SrTeSeN2
Source: the Alexandria database
Functional: GGA-PBEsol
Structure: optimized geometry

Values from the calculation:
space-group type = P4/mmm, No. 123
magnetization = 0.00 μB per cell
formation energy from raw total energies = 0.30 eV/atom

Lattice parameters (Å, degrees): 4.162 4.162 5.435 90.00 90.00 90.00
Positions (direct):
Sr1 0.500 0.500 0.500
Te1 0.000 0.000 0.000
Se1 0.000 0.000 0.500
N1 0.000 0.500 0.000
N2 0.500 0.000 0.000

=====

No. 9
Compound: MgCo2Ir
Source: the Alexandria database
Functional: GGA-PBEsol
Structure: optimized geometry

Values from the calculation:
space-group type = Immm, No. 71
magnetization = 3.67 μB per cell
energy of formation = 0.119 eV/atom

Lattice parameters (Å, degrees): 2.896 4.174 4.933 115.03 107.07 90.00
Site moments in Bohr magnetons follow the coordinates.
Positions (direct):
Co1 0.755 0.755 0.509  1.69
Co2 0.245 0.245 0.491  1.69
Ir1 0.500 0.000 0.000  0.41
Mg1 0.000 0.500 0.000  -0.02

=====

No. 10
Compound: TaTe2Os
Source: the Alexandria database
Functional: GGA-PBEsol
Structure: optimized geometry

Values from the calculation:
space-group type = P4mm, No. 99
magnetization = 0.00 μB per cell
formation energy from raw total energies = 0.15 eV/atom

Lattice parameters (Å, degrees): 3.098 3.098 8.614 90.00 90.00 90.00
Positions (direct):
Os1 0.000 0.000 0.515
Ta1 0.500 0.500 0.721
Te1 0.000 0.000 0.948
Te2 0.500 0.500 0.317

=====

No. 11
Compound: CuAs2BrO
Source: the Alexandria database
Functional: GGA-PBEsol
Structure: optimized geometry

Values from the calculation:
space-group type = P4/mmm, No. 123
magnetization = 0.00 μB per cell
formation energy from raw total energies = 0.42 eV/atom

Lattice parameters (Å, degrees): 4.002 4.002 6.142 90.00 90.00 90.00
Positions (direct):
O1 0.000 0.000 0.000
As1 0.000 0.500 0.000
As2 0.500 0.000 0.000
Cu1 0.500 0.500 0.500
Br1 0.000 0.000 0.500

=====

No. 12
Compound: ZnNiAs3
Source: the Alexandria database
Functional: GGA-PBEsol
Structure: optimized geometry

Values from the calculation:
space-group type = Pm-3m, No. 221
magnetization = 0.00 μB per cell
energy of formation = 0.485 eV/atom

Lattice parameters (Å, degrees): 4.571 4.571 4.571 90.00 90.00 90.00
Positions (direct):
Ni1 0.000 0.000 0.000
As1 0.000 0.500 0.000
As2 0.000 0.000 0.500
As3 0.500 0.000 0.000
Zn1 0.500 0.500 0.500

=====

No. 13
Compound: Ta5Tc24
Source: the Alexandria database
Functional: GGA-PBEsol
Structure: optimized geometry

Values from the calculation:
space-group type = I-43m, No. 217
magnetization = 0.00 μB per cell
energy of formation = -0.128 eV/atom

Lattice parameters (Å, degrees): 8.224 8.224 8.224 109.47 109.47 109.47
Positions (direct):
Ta1 0.370 0.370 0.370
Ta2 0.000 0.630 0.000
Ta3 0.000 0.000 0.630
Ta4 0.630 0.000 0.000
Ta5 0.000 0.000 0.000
Tc1 0.625 0.819 0.625
Tc2 0.806 0.181 0.806
Tc3 0.194 0.000 0.375
Tc4 0.375 0.000 0.194
Tc5 0.819 0.625 0.625
Tc6 0.181 0.806 0.806
Tc7 0.000 0.375 0.194
Tc8 0.000 0.194 0.375
Tc9 0.625 0.625 0.819
Tc10 0.806 0.806 0.181
Tc11 0.375 0.194 0.000
Tc12 0.194 0.375 0.000
Tc13 0.604 0.284 0.604
Tc14 0.320 0.716 0.320
Tc15 0.680 0.000 0.396
Tc16 0.396 0.000 0.680
Tc17 0.284 0.604 0.604
Tc18 0.716 0.320 0.320
Tc19 0.000 0.396 0.680
Tc20 0.000 0.680 0.396
Tc21 0.604 0.604 0.284
Tc22 0.320 0.320 0.716
Tc23 0.396 0.680 0.000
Tc24 0.680 0.396 0.000

=====

No. 14
Compound: LiNiRh2
Source: the Alexandria database
Functional: GGA-PBEsol
Structure: optimized geometry

Values from the calculation:
space-group type = P4/mmm, No. 123
magnetization = 0.00 μB per cell
energy of formation = 0.018 eV/atom

Lattice parameters (Å, degrees): 3.203 3.850 3.850 90.00 90.00 90.00
Positions (direct):
Ni1 0.500 0.000 0.000
Rh1 0.000 0.000 0.500
Rh2 0.000 0.500 0.000
Li1 0.500 0.500 0.500

=====

No. 15
Compound: KMg2Tl2
Source: the Alexandria database
Functional: GGA-PBEsol
Structure: optimized geometry

Values from the calculation:
space-group type = P4/mbm, No. 127
magnetization = 0.00 μB per cell
energy of formation = -0.076 eV/atom

Lattice parameters (Å, degrees): 3.226 9.234 9.234 90.00 90.00 90.00
Positions (direct):
Mg1 0.500 0.135 0.635
Mg2 0.500 0.635 0.865
Mg3 0.500 0.865 0.365
Mg4 0.500 0.365 0.135
Tl1 0.000 0.345 0.845
Tl2 0.000 0.845 0.655
Tl3 0.000 0.655 0.155
Tl4 0.000 0.155 0.345
K1 0.000 0.000 0.000
K2 0.000 0.500 0.500

=====

No. 16
Compound: RePNF2
Source: the Alexandria database
Functional: GGA-PBEsol
Structure: optimized geometry

Values from the calculation:
space-group type = P4/mmm, No. 123
magnetization = 4.38 μB per cell
formation energy from raw total energies = 0.78 eV/atom

Lattice parameters (Å, degrees): 3.785 3.785 4.372 90.00 90.00 90.00
Site moments in Bohr magnetons follow the coordinates.
Positions (direct):
Re1 0.500 0.500 0.500  3.62
N1 0.000 0.000 0.500  -0.02
F1 0.000 0.500 0.000  0.06
F2 0.500 0.000 0.000  0.06
P1 0.000 0.000 0.000  -0.01

=====

No. 17
Compound: Y2Tl2Ag
Source: the Alexandria database
Functional: GGA-PBEsol
Structure: optimized geometry

Values from the calculation:
space-group type = P4/mbm, No. 127
magnetization = 0.00 μB per cell
energy of formation = -0.336 eV/atom

Lattice parameters (Å, degrees): 4.539 7.420 7.420 90.00 90.00 90.00
Positions (direct):
Y1 0.500 0.166 0.666
Y2 0.500 0.666 0.834
Y3 0.500 0.834 0.334
Y4 0.500 0.334 0.166
Tl1 0.000 0.359 0.859
Tl2 0.000 0.859 0.641
Tl3 0.000 0.641 0.141
Tl4 0.000 0.141 0.359
Ag1 0.000 0.000 0.000
Ag2 0.000 0.500 0.500

=====

No. 18
Compound: La3GeN
Source: the Alexandria database
Functional: GGA-PBEsol
Structure: optimized geometry

Values from the calculation:
space-group type = P4/mbm, No. 127
magnetization = 0.00 μB per cell
formation energy from raw total energies = -0.98 eV/atom

Lattice parameters (Å, degrees): 5.015 6.972 6.972 90.00 90.00 90.00
Positions (direct):
Ge1 0.500 0.500 0.000
Ge2 0.500 0.000 0.500
La1 0.000 0.787 0.713
La2 0.000 0.213 0.287
La3 0.000 0.287 0.787
La4 0.500 0.000 0.000
La5 0.500 0.500 0.500
La6 0.000 0.713 0.213
N1 0.000 0.000 0.000
N2 0.000 0.500 0.500

=====

No. 19
Compound: ZnFeCu2
Source: the Alexandria database
Functional: GGA-PBEsol
Structure: optimized geometry

Values from the calculation:
space-group type = Immm, No. 71
magnetization = 2.24 μB per cell
energy of formation = 0.124 eV/atom

Lattice parameters (Å, degrees): 2.619 4.243 4.918 115.55 105.44 90.00
Site moments in Bohr magnetons follow the coordinates.
Positions (direct):
Cu1 0.749 0.749 0.498  0.03
Cu2 0.251 0.251 0.502  0.03
Fe1 0.500 0.000 0.000  2.28
Zn1 0.000 0.500 0.000  -0.05

=====

No. 20
Compound: Sr2HgSb
Source: the Alexandria database
Functional: GGA-PBEsol
Structure: optimized geometry

Values from the calculation:
space-group type = I4/mmm, No. 139
magnetization = 0.00 μB per cell
formation energy from raw total energies = -0.79 eV/atom

Lattice parameters (Å, degrees): 5.601 5.589 5.601 59.93 90.00 120.07
Positions (direct):
Sb1 0.000 0.000 0.000
Hg1 0.500 0.000 0.500
Sr1 0.250 0.500 0.250
Sr2 0.750 0.500 0.750